DFT (PBE) results for a relaxed structure of AgW3N.

Values from the calculation:
excess energy over the best structure of this formula in the dataset	3741	meV per atom
total magnetic moment	0.0	μB per cell
E_form (uncorrected)	4.051	eV/atom
V	108.80	Å³/f.u.
raw total energy	-0.2189	Ha/atom
crystal system	cubic

abc: 4.7740 4.7740 4.7740
angles: 90.00 90.00 90.00
With the nearest neighbours (Å) after each atom.
Space group Pm-3m (No. 221)
Inequivalent atoms, fractional coordinates:
Ag 0.0000 0.0000 0.0000  6 W 2.39
W 0.0000 0.0000 0.5000  2 Ag 2.39
N 0.5000 0.5000 0.5000  12 W 3.38